1.
VASP calculation (PBE) on an optimized crystal structure of MnSe3.

Summary:
Energy relative to the elements, uncorrected   0.49 eV/atom
Crystal system   cubic
Fermi-level density of states   2.42 states/eV/cell

abc: 4.333 4.333 4.333
angles: 90.00 90.00 90.00
Space group Pm-3m (No. 221)
Inequivalent atoms, fractional coordinates:
Mn  0.000  0.000  0.000
Se  0.000  0.500  0.500

2.
VASP calculation (PBE) on an optimized crystal structure of Rb2Li2PuCl6.

Summary:
Energy relative to the elements, uncorrected   -1.77 eV/atom
Crystal system   trigonal
Fermi-level density of states   50.15 states/eV/cell

abc: 7.6246 7.6246 21.8452
angles: 90.00 90.00 120.00
Space group R-3m (No. 166, hexagonal axes)
Inequivalent atoms, fractional coordinates:
Rb  0.0000  0.0000  0.2086
Li  0.0000  0.0000  0.4170
Pu  0.0000  0.0000  0.0000
Cl  0.0092  0.5046  0.7530

Which of these has the highest energy relative to the elements, uncorrected?
MnSe3

Number 1 is which compound?
MnSe3

Repeat the second record exactly.
VASP calculation (PBE) on an optimized crystal structure of Rb2Li2PuCl6.

Summary:
Energy relative to the elements, uncorrected   -1.77 eV/atom
Crystal system   trigonal
Fermi-level density of states   50.15 states/eV/cell

abc: 7.6246 7.6246 21.8452
angles: 90.00 90.00 120.00
Space group R-3m (No. 166, hexagonal axes)
Inequivalent atoms, fractional coordinates:
Rb  0.0000  0.0000  0.2086
Li  0.0000  0.0000  0.4170
Pu  0.0000  0.0000  0.0000
Cl  0.0092  0.5046  0.7530